Entry 1:
The following is a PBE-GGA calculation of a relaxed BaMg2Zn crystal, from Alexandria.

Values from the calculation:
- Total moment: 0.00 μB per cell
- Space-group type: No. 65
- Uncorrected energy: -1.3815 eV/atom

Cell: 6.130 6.130 3.640 Å, 90.00 90.00 113.59°
Atoms (fractional coordinates):
Ba 0.000 0.000 0.000
Mg 0.000 0.500 0.500
Mg 0.500 0.000 0.500
Zn 0.500 0.500 0.000



Entry 2:
The following is a PBE-GGA calculation of a relaxed Ni4AgW crystal, from Alexandria.

Values from the calculation:
- Total moment: 0.00 μB per cell
- Space-group type: No. 216
- Uncorrected energy: -6.3561 eV/atom

Cell: 4.735 4.735 4.735 Å, 60.00 60.00 60.00°
Atoms (fractional coordinates):
Ni 0.125 0.125 0.125
Ni 0.125 0.125 0.626
Ni 0.125 0.626 0.125
Ni 0.626 0.125 0.125
Ag 0.500 0.500 0.500
W 0.750 0.750 0.750



Entry 3:
The following is a PBE-GGA calculation of a relaxed Pr3Ho2Er8 crystal, from Alexandria.

Values from the calculation:
- Total moment: 0.00 μB per cell
- E above lowest polymorph: 0 meV per atom
- Space-group type: No. 2

Cell: 6.163 6.166 11.241 Å, 89.94 79.43 80.37°
Atoms (fractional coordinates):
Pr 0.000 0.000 0.000
Pr 0.231 0.461 0.080
Pr 0.769 0.539 0.920
Ho 0.385 0.770 0.463
Ho 0.615 0.230 0.537
Er 0.077 0.151 0.688
Er 0.154 0.308 0.387
Er 0.308 0.612 0.764
Er 0.463 0.925 0.159
Er 0.537 0.075 0.841
Er 0.692 0.388 0.236
Er 0.846 0.692 0.613
Er 0.923 0.849 0.312



Entry 4:
The following is a PBE-GGA calculation of a relaxed Sc2SeCl4 crystal, from Alexandria.

Values from the calculation:
- E_form (uncorrected): -0.637 eV/atom
- Total moment: 2.01 μB per cell
- Space-group type: No. 139

Cell: 8.495 8.495 8.495 Å, 143.18 143.18 53.05°
Atoms (fractional coordinates):
Sc 0.093 0.093 0.000
Sc 0.907 0.907 0.000
Se 0.500 0.500 0.000
Cl 0.000 0.500 0.500
Cl 0.245 0.245 0.000
Cl 0.500 0.000 0.500
Cl 0.755 0.755 0.000



Entry 5:
The following is a PBE-GGA calculation of a relaxed Ac8In2Rh crystal, from Alexandria.

Values from the calculation:
- Total moment: 0.00 μB per cell
- Space-group type: No. 12
- Uncorrected energy: -4.4119 eV/atom

Cell: 10.475 10.475 7.848 Å, 95.38 95.38 29.49°
Atoms (fractional coordinates):
Ac 0.008 0.008 0.272
Ac 0.214 0.214 0.816
Ac 0.360 0.360 0.498
Ac 0.404 0.404 0.009
Ac 0.596 0.596 0.991
Ac 0.640 0.640 0.502
Ac 0.786 0.786 0.184
Ac 0.992 0.992 0.728
In 0.184 0.184 0.255
In 0.816 0.816 0.745
Rh 0.500 0.500 0.500



Entry 6:
The following is a PBE-GGA calculation of a relaxed Tb3PmPr3S8 crystal, from Alexandria.

Values from the calculation:
- E_form (uncorrected): -2.045 eV/atom
- Total moment: 0.00 μB per cell
- Space-group type: No. 166

Cell: 8.059 8.059 8.059 Å, 59.41 59.41 59.41°
Atoms (fractional coordinates):
Tb 0.000 0.500 0.500
Tb 0.500 0.000 0.500
Tb 0.500 0.500 0.000
Pm 0.000 0.000 0.000
Pr 0.000 0.000 0.500
Pr 0.000 0.500 0.000
Pr 0.500 0.000 0.000
S 0.251 0.251 0.738
S 0.251 0.738 0.251
S 0.255 0.255 0.255
S 0.262 0.749 0.749
S 0.738 0.251 0.251
S 0.745 0.745 0.745
S 0.749 0.262 0.749
S 0.749 0.749 0.262



Entry 7:
The following is a PBE-GGA calculation of a relaxed Tb2Cu3Ge2 crystal, from Alexandria.

Values from the calculation:
- Total moment: 0.00 μB per cell
- Space-group type: No. 12
- Uncorrected energy: -4.8909 eV/atom

Cell: 5.533 5.533 6.358 Å, 109.78 109.78 44.27°
Atoms (fractional coordinates):
Tb 0.148 0.148 0.256
Tb 0.852 0.852 0.744
Cu 0.403 0.403 0.080
Cu 0.500 0.500 0.500
Cu 0.597 0.597 0.920
Ge 0.145 0.145 0.740
Ge 0.855 0.855 0.260



Entry 8:
The following is a PBE-GGA calculation of a relaxed FeReSN2 crystal, from Alexandria.

Values from the calculation:
- E_form (uncorrected): 1.333 eV/atom
- Total moment: 1.75 μB per cell
- Space-group type: No. 123

Cell: 3.587 3.587 4.662 Å, 90.00 90.00 90.00°
Atoms (fractional coordinates):
Fe 0.000 0.000 0.000
Re 0.500 0.500 0.500
S 0.000 0.000 0.500
N 0.000 0.500 0.000
N 0.500 0.000 0.000